[1]
Here is a geometry-optimized TiNbInMo structure from Alexandria. Energies are from PBE.

Structure (extended XYZ):
```
4
Lattice="4.654 0.000 0.000 2.327 4.030 0.000 2.327 1.343 3.800" Properties=species:S:1:pos:R:3 pbc="T T T"
In 0.000 0.000 0.000
Nb 2.327 1.343 0.950
Mo 4.654 2.687 1.900
Ti 6.981 4.030 2.850
```

The total energy is -7.90 eV per atom. As for the theoretical density: 8.19 g/cm³. The calculation puts the density of states at the Fermi level at 0.42 states/eV/atom. The calculation puts the formation energy at -0.017 eV per atom. As for the space-group type: No. 216.

[2]
Here is a geometry-optimized NbTl2InMo structure from Alexandria. Energies are from PBE.

Structure (extended XYZ):
```
5
Lattice="-3.561 3.740 1.228 -3.558 -3.724 1.021 1.599 -0.140 5.060" Properties=species:S:1:pos:R:3 pbc="T T T"
Tl 0.799 -0.070 2.530
In -1.779 -1.862 0.511
Mo 0.000 0.000 0.000
Nb -2.761 -0.062 3.655
Tl -1.781 1.870 0.614
```

The total energy is -4.35 eV per atom. As for the theoretical density: 8.00 g/cm³. The calculation puts the density of states at the Fermi level at 0.62 states/eV/atom. The calculation puts the formation energy at 1.321 eV per atom. As for the space-group type: No. 123.